No. 1
Below is a relaxed Hf2InHg2 crystal, with properties calculated at the GGA-PBE level.

Properties
energy of formation from the pure elements = 0.340 eV per atom
energy above the lowest structure with this stoichiometry = 249 meV per atom
magnetic moment = 0.0 μB/cell
theoretical density = 11.66 g cm⁻³

a = 4.2462 Å, b = 4.2462 Å, c = 13.7930 Å
α = 90.00°, β = 90.00°, γ = 90.00°
Last column: nearest neighbours and their distance in Å.
Space group I4/mmm (No. 139)
Symmetry-distinct sites (fractional):
Hf: 0.0000 0.5000 0.2500 x4  4 Hg 2.97, 4 Hf 3.00
In: 0.0000 0.0000 0.0000 x2  8 Hg 3.30
Hg: 0.0000 0.0000 0.4001 x4  1 Hg 2.76, 4 Hf 2.97

***

No. 2
Below is a relaxed Hf12In5Hg2 crystal, with properties calculated at the GGA-PBE level.

Properties
energy of formation from the pure elements = 0.067 eV per atom
magnetic moment = 0.0 μB/cell
theoretical density = 11.99 g cm⁻³

a = 13.0633 Å, b = 8.5019 Å, c = 7.7769 Å
α = 90.00°, β = 90.15°, γ = 90.00°
Last column: nearest neighbours and their distance in Å.
Space group C2/m (No. 12)
Symmetry-distinct sites (fractional):
Hf: 0.0642 0.0000 0.1860 x4  2 In 2.87-3.13, 6 Hf 2.88-3.01, 2 Hg 3.05
Hf: 0.0794 0.5000 0.6317 x4  1 Hf 2.91, 3 In 2.98-3.22, 2 Hg 3.00
Hf: 0.1150 0.1881 0.8759 x8  3 Hf 2.88-3.20, 3 In 3.03-3.20
Hf: 0.1472 0.3229 0.2645 x8  1 Hg 2.88, 2 Hf 3.01, 3 In 3.05-3.21
In: 0.0000 0.5000 0.0000 x2  2 In 3.02, 10 Hf 3.05-3.20
In: 0.1927 0.0000 0.5264 x4  2 Hg 3.00, 6 Hf 3.05-3.32
In: 0.2268 0.5000 0.9257 x4  8 Hf 2.87-3.21, 1 In 3.02
Hg: 0.0000 0.1914 0.5000 x4  6 Hf 2.88-3.05, 2 In 3.00